Entry 1:
# Ba2Co

Crystalline Ba2Co at its relaxed geometry (PBE-GGA, OQMD). Values from VASP.

```
&SYSTEM
  ibrav = 0, nat = 6, ntyp = 2
/
ATOMIC_SPECIES
Ba 137.33 Ba.upf
Co 58.93 Co.upf
CELL_PARAMETERS angstrom
7.4482 0.0000 0.0000
0.0000 7.4482 0.0000
0.0000 0.0000 4.7419
ATOMIC_POSITIONS crystal
Ba 0.1952 0.1952 0.0000
Ba 0.3048 0.6952 0.5000
Ba 0.6952 0.3048 0.5000
Ba 0.8048 0.8048 0.0000
Co 0.0000 0.0000 0.5000
Co 0.5000 0.5000 0.0000
```

---

Entry 2:
# BaCo

Crystalline BaCo at its relaxed geometry (PBE-GGA, OQMD). Values from VASP.

```
&SYSTEM
  ibrav = 0, nat = 8, ntyp = 2
/
ATOMIC_SPECIES
Ba 137.33 Ba.upf
Co 58.93 Co.upf
CELL_PARAMETERS angstrom
6.7794 0.0000 0.0000
0.0000 6.7794 0.0000
0.0000 0.0000 6.7794
ATOMIC_POSITIONS crystal
Ba 0.0000 0.0000 0.0000
Ba 0.0000 0.5000 0.5000
Ba 0.5000 0.0000 0.5000
Ba 0.5000 0.5000 0.0000
Co 0.2500 0.2500 0.7500
Co 0.2500 0.7500 0.2500
Co 0.7500 0.2500 0.2500
Co 0.7500 0.7500 0.7500
```

---

no.,ρ (kg/m3),E_tot (eV per atom)
1,4211,-3.21
2,4184,-3.21